(1)
4
Lattice="3.8555 0.0000 0.0000 0.0000 3.8555 0.0000 0.0000 0.0000 4.3629" Properties=species:S:1:pos:R:3 comment="Cd2TcRu (SCAN, PBEsol geometry)" formation_enthalpy_0k_ev_per_atom=0.5415 de_polymorph_mev_per_atom=8 mass_density_g_cm3=10.85 space_group="P4/mmm (123)" pbc="T T T"
Cd 0.0000 1.9278 0.0000
Cd 1.9278 0.0000 0.0000
Tc 0.0000 0.0000 2.1814
Ru 1.9278 1.9278 2.1814


(2)
3
Lattice="4.3629 0.0000 0.0000 -2.1814 3.7784 0.0000 0.0000 0.0000 2.8098" Properties=species:S:1:pos:R:3 comment="CdTcRu (SCAN, PBEsol geometry)" formation_enthalpy_0k_ev_per_atom=0.4319 de_polymorph_mev_per_atom=293 mass_density_g_cm3=11.17 space_group="P3m1 (156)" pbc="T T T"
Cd 0.0000 0.0000 0.0000
Tc 0.0000 2.5189 1.2633
Ru 2.1814 1.2595 1.5910


(3)
6
Lattice="2.8200 0.0000 0.0000 0.0000 2.8200 0.0000 0.0000 0.0000 11.6726" Properties=species:S:1:pos:R:3 comment="CdTcRu (SCAN, PBEsol geometry)" formation_enthalpy_0k_ev_per_atom=0.1393 de_polymorph_mev_per_atom=0 mass_density_g_cm3=11.14 space_group="I4mm (107)" pbc="T T T"
Cd 0.0000 0.0000 0.0000
Cd 1.4100 1.4100 5.8363
Tc 0.0000 0.0000 3.6671
Tc 1.4100 1.4100 9.5034
Ru 0.0000 0.0000 7.9617
Ru 1.4100 1.4100 2.1254